1.
The following is a DFT calculation (PBE) of crystalline RbSbTe2Pb at its relaxed geometry.

Lattice parameters (Å, degrees): 6.176 6.176 5.898 90.00 90.00 90.00
Element x y z (fractional)
Rb (0.000, 0.000, 0.000)
Te (0.000, 0.500, 0.000)
Te (0.500, 0.000, 0.000)
Sb (0.000, 0.000, 0.500)
Pb (0.500, 0.500, 0.500)

* total moment: 0.0 μB/f.u.
* Fermi-level density of states: 7.1 states/eV per cell
* symmetry: No. 123
* relative energy among the computed polymorphs: 840 meV/atom


2.
The following is a DFT calculation (PBE) of crystalline RbSb2TePb at its relaxed geometry.

Lattice parameters (Å, degrees): 5.930 5.930 6.183 90.00 90.00 90.00
Element x y z (fractional)
Sb (0.500, 0.000, 0.000)
Sb (0.000, 0.500, 0.000)
Te (0.000, 0.000, 0.500)
Pb (0.000, 0.000, 0.000)
Rb (0.500, 0.500, 0.500)

* total moment: 1.5 μB/f.u.
* Fermi-level density of states: 5.3 states/eV per cell
* symmetry: No. 123
* relative energy among the computed polymorphs: 0 meV/atom


3.
The following is a DFT calculation (PBE) of crystalline RbSb2TePb at its relaxed geometry.

Lattice parameters (Å, degrees): 5.955 5.955 6.152 90.00 90.00 90.00
Element x y z (fractional)
Rb (0.000, 0.000, 0.000)
Sb (0.500, 0.000, 0.000)
Sb (0.000, 0.500, 0.000)
Te (0.000, 0.000, 0.500)
Pb (0.500, 0.500, 0.500)

* total moment: 0.0 μB/f.u.
* Fermi-level density of states: 6.6 states/eV per cell
* symmetry: No. 123
* relative energy among the computed polymorphs: 824 meV/atom


4.
The following is a DFT calculation (PBE) of crystalline Rb2SbTe4Pb at its relaxed geometry.

Lattice parameters (Å, degrees): 9.644 9.644 10.027 121.32 121.32 90.07
Element x y z (fractional)
Rb (0.500, 0.500, 0.000)
Rb (0.000, 0.000, 0.500)
Rb (0.500, 0.000, 0.500)
Rb (0.500, 0.000, 0.000)
Te (0.204, 0.748, 0.976)
Te (0.240, 0.260, 0.460)
Te (0.248, 0.704, 0.476)
Te (0.796, 0.252, 0.024)
Te (0.240, 0.260, 0.040)
Te (0.760, 0.740, 0.960)
Te (0.752, 0.296, 0.524)
Te (0.760, 0.740, 0.540)
Sb (0.000, 0.000, 0.000)
Sb (0.500, 0.500, 0.500)
Pb (0.000, 0.500, 0.500)
Pb (0.000, 0.500, 0.000)

* electronic total energy: -3.26 eV/atom
* total moment: 0.0 μB/f.u.
* Fermi-level density of states: 26.5 states/eV per cell
* symmetry: No. 74